1.
VASP calculation (PBE) on an optimized crystal structure of Hf2ZnPt2.

Lattice parameters (Å, degrees): 7.444 7.444 3.362 90.00 90.00 90.00
Positions (direct):
1 Zn 0.000 0.000 0.000
2 Zn 0.500 0.500 0.000
3 Hf 0.167 0.667 0.500
4 Hf 0.667 0.833 0.500
5 Hf 0.833 0.333 0.500
6 Hf 0.333 0.167 0.500
7 Pt 0.367 0.867 0.000
8 Pt 0.867 0.633 0.000
9 Pt 0.633 0.133 0.000
10 Pt 0.133 0.367 0.000

Values from the calculation:
VASP energy: -7.520 eV per atom



2.
VASP calculation (PBE) on an optimized crystal structure of Dy2GaTc.

Lattice parameters (Å, degrees): 3.549 3.549 6.860 90.00 90.00 90.00
Positions (direct):
1 Tc 0.500 0.500 0.000
2 Ga 0.500 0.500 0.500
3 Dy 0.000 0.000 0.765
4 Dy 0.000 0.000 0.235

Values from the calculation:
VASP energy: -5.919 eV per atom



Here are the calculated ΔH_f (0 K) numbers, same order: -0.8677 -0.2695 (eV per atom).